[1]
RbSr2LiPt after structural relaxation. Source: the Alexandria database, functional PBE.

Summary:
Its energy above the most stable polymorph in this dataset is 0 meV per atom. For the density of states at the Fermi level, the calculation gives 3.18 states/eV per cell.

Unit cell a=6.010 b=6.010 c=5.567 alpha=90.00 beta=90.00 gamma=90.00
Space group P4/mmm (No. 123)
One atom of each set of equivalent atoms:
1 Rb 0.000 0.000 0.000 [1 per cell]
2 Sr 0.000 0.500 0.500 [2 per cell]
3 Li 0.500 0.500 0.000 [1 per cell]
4 Pt 0.500 0.500 0.500 [1 per cell]

***

[2]
RbLiTiPt2 after structural relaxation. Source: the Alexandria database, functional PBE.

Summary:
For the density of states at the Fermi level, the calculation gives 9.24 states/eV per cell.

Unit cell a=4.633 b=4.633 c=4.609 alpha=90.00 beta=90.00 gamma=90.00
Space group P4/mmm (No. 123)
One atom of each set of equivalent atoms:
1 Rb 0.000 0.000 0.000 [1 per cell]
2 Li 0.500 0.500 0.500 [1 per cell]
3 Ti 0.500 0.500 0.000 [1 per cell]
4 Pt 0.000 0.500 0.500 [2 per cell]

***

[3]
RbLi2ZnPt after structural relaxation. Source: the Alexandria database, functional PBE.

Summary:
For the density of states at the Fermi level, the calculation gives 2.61 states/eV per cell.

Unit cell a=5.008 b=5.008 c=5.028 alpha=90.00 beta=90.00 gamma=90.00
Space group P4/mmm (No. 123)
One atom of each set of equivalent atoms:
1 Rb 0.000 0.000 0.000 [1 per cell]
2 Li 0.000 0.500 0.500 [2 per cell]
3 Zn 0.500 0.500 0.000 [1 per cell]
4 Pt 0.500 0.500 0.500 [1 per cell]

***

[4]
LiRePt2 after structural relaxation. Source: the Alexandria database, functional PBE.

Summary:
Its energy above the most stable polymorph in this dataset is 325 meV per atom. For the density of states at the Fermi level, the calculation gives 6.18 states/eV per cell.

Unit cell a=2.790 b=4.635 c=9.407 alpha=90.00 beta=90.00 gamma=90.00
Space group Cmm2 (No. 35)
One atom of each set of equivalent atoms:
1 Li 0.000 0.000 0.000 [2 per cell]
2 Re 0.000 0.500 0.258 [2 per cell]
3 Pt 0.000 0.000 0.503 [2 per cell]
4 Pt 0.000 0.500 0.771 [2 per cell]

***

[5]
LiRePt2 after structural relaxation. Source: the Alexandria database, functional PBE.

Summary:
Its energy above the most stable polymorph in this dataset is 328 meV per atom. For the density of states at the Fermi level, the calculation gives 3.39 states/eV per cell.

Unit cell a=3.920 b=3.920 c=3.804 alpha=90.00 beta=90.00 gamma=90.00
Space group P4/mmm (No. 123)
One atom of each set of equivalent atoms:
1 Li 0.000 0.000 0.000 [1 per cell]
2 Re 0.500 0.500 0.000 [1 per cell]
3 Pt 0.000 0.500 0.500 [2 per cell]

***

[6]
LiRePt2 after structural relaxation. Source: the Alexandria database, functional PBE.

Summary:
Its energy above the most stable polymorph in this dataset is 261 meV per atom. For the density of states at the Fermi level, the calculation gives 7.78 states/eV per cell.

Unit cell a=8.918 b=2.701 c=4.923 alpha=90.00 beta=97.40 gamma=90.00
Space group C2/m (No. 12)
One atom of each set of equivalent atoms:
1 Li 0.000 0.000 0.000 [2 per cell]
2 Re 0.000 0.500 0.500 [2 per cell]
3 Pt 0.247 0.000 0.748 [4 per cell]

***

[7]
LiRePt2 after structural relaxation. Source: the Alexandria database, functional PBE.

Summary:
Its energy above the most stable polymorph in this dataset is 439 meV per atom. For the density of states at the Fermi level, the calculation gives 2.83 states/eV per cell.

Unit cell a=2.729 b=4.592 c=4.738 alpha=90.00 beta=90.00 gamma=90.00
Space group Pmmm (No. 47)
One atom of each set of equivalent atoms:
1 Li 0.000 0.000 0.000 [1 per cell]
2 Re 0.500 0.000 0.500 [1 per cell]
3 Pt 0.000 0.500 0.500 [1 per cell]
4 Pt 0.500 0.500 0.000 [1 per cell]

***

[8]
LiRePt2 after structural relaxation. Source: the Alexandria database, functional PBE.

Summary:
Its energy above the most stable polymorph in this dataset is 295 meV per atom. For the density of states at the Fermi level, the calculation gives 14.69 states/eV per cell.

Unit cell a=6.185 b=6.185 c=6.185 alpha=90.00 beta=90.00 gamma=90.00
Space group Fm-3m (No. 225)
One atom of each set of equivalent atoms:
1 Li 0.000 0.000 0.000 [4 per cell]
2 Re 0.000 0.000 0.500 [4 per cell]
3 Pt 0.250 0.250 0.250 [8 per cell]

***

[9]
LiRePt2 after structural relaxation. Source: the Alexandria database, functional PBE.

Summary:
Its energy above the most stable polymorph in this dataset is 131 meV per atom. For the density of states at the Fermi level, the calculation gives 15.09 states/eV per cell.

Unit cell a=2.7611 b=2.7611 c=26.9772 alpha=90.00 beta=90.00 gamma=120.00
Space group R-3m (No. 166, hexagonal axes)
One atom of each set of equivalent atoms:
1 Li 0.0000 0.0000 0.0000 [3 per cell]
2 Re 0.0000 0.0000 0.5000 [3 per cell]
3 Pt 0.0000 0.0000 0.2511 [6 per cell]

***

[10]
LiRePt2 after structural relaxation. Source: the Alexandria database, functional PBE.

Summary:
Its energy above the most stable polymorph in this dataset is 231 meV per atom. For the density of states at the Fermi level, the calculation gives 11.23 states/eV per cell.

Unit cell a=2.7561 b=2.7561 c=27.5068 alpha=90.00 beta=90.00 gamma=120.00
Space group R3m (No. 160, hexagonal axes)
One atom of each set of equivalent atoms:
1 Li 0.0000 0.0000 0.0000 [3 per cell]
2 Re 0.0000 0.0000 0.2446 [3 per cell]
3 Pt 0.0000 0.0000 0.4986 [3 per cell]
4 Pt 0.0000 0.0000 0.7438 [3 per cell]

***

[11]
LiRePt2 after structural relaxation. Source: the Alexandria database, functional PBE.

Summary:
Its energy above the most stable polymorph in this dataset is 15 meV per atom. For the density of states at the Fermi level, the calculation gives 5.11 states/eV per cell.

Unit cell a=5.630 b=7.661 c=2.704 alpha=90.00 beta=90.00 gamma=90.00
Space group Cmmm (No. 65)
One atom of each set of equivalent atoms:
1 Li 0.000 0.000 0.000 [2 per cell]
2 Re 0.000 0.500 0.000 [2 per cell]
3 Pt 0.250 0.250 0.500 [4 per cell]

***

[12]
Li4RePt after structural relaxation. Source: the Alexandria database, functional PBE.

Summary:
For the density of states at the Fermi level, the calculation gives 7.61 states/eV per cell.

Unit cell a=6.730 b=6.730 c=6.730 alpha=90.00 beta=90.00 gamma=90.00
Space group F-43m (No. 216)
One atom of each set of equivalent atoms:
1 Li 0.125 0.125 0.125 [16 per cell]
2 Re 0.000 0.000 0.500 [4 per cell]
3 Pt 0.250 0.250 0.750 [4 per cell]

***

| no. | VASP energy (eV per cell) | formation enthalpy at 0 K (meV/atom) |
| --- | --- | --- |
| 1 | -13.454 | -234 |
| 2 | -19.495 | 673 |
| 3 | -13.096 | -197 |
| 4 | -52.659 | 28 |
| 5 | -26.315 | 32 |
| 6 | -53.165 | -35 |
| 7 | -25.873 | 143 |
| 8 | -105.786 | -1 |
| 9 | -81.307 | -165 |
| 10 | -80.110 | -65 |
| 11 | -55.136 | -281 |
| 12 | -98.572 | 250 |